Ac2LuTa: relaxed, GGA-PBE.

The value obtained for the density of states at the Fermi level is 18.88 states/eV/cell. As for the calculated formation energy: 3.555 eV/f.u. As for the total energy: -5.259 eV/atom.

The structure belongs to space group R-3m (No. 166, hexagonal axes); the cell edges are 3.4898, 3.4898 and 36.6894 Å and the angles 90.00°, 90.00° and 120.00°. The distinct sites, in fractional coordinates, are Ac at (0.0000, 0.0000, 0.0829), Lu at (0.0000, 0.0000, 0.5000) and Ta at (0.0000, 0.0000, 0.0000).

***

LaBiPbS2: relaxed, GGA-PBE.

The value obtained for the density of states at the Fermi level is 6.23 states/eV/cell. As for the total energy: -4.419 eV/atom.

The structure belongs to space group P4/mmm (No. 123); the cell edges are 5.371, 5.371 and 6.484 Å and the angles 90.00°, 90.00° and 90.00°. The distinct sites, in fractional coordinates, are La at (0.000, 0.000, 0.000), Bi at (0.000, 0.000, 0.500), Pb at (0.500, 0.500, 0.500) and S at (0.000, 0.500, 0.000).

***

TcIrO2: relaxed, GGA-PBE.

The value obtained for the density of states at the Fermi level is 20.80 states/eV/cell. The value obtained for the energy above the most stable polymorph in this dataset is 128.4 kJ/mol of atoms. As for the total energy: -6.701 eV/atom.

The structure belongs to space group Fm-3m (No. 225); the cell edges are 5.574, 5.574 and 5.574 Å and the angles 90.00°, 90.00° and 90.00°. The distinct sites, in fractional coordinates, are Tc at (0.000, 0.000, 0.000), Ir at (0.000, 0.000, 0.500) and O at (0.250, 0.250, 0.250).

***

YAsOs2: relaxed, GGA-PBE.

The value obtained for the density of states at the Fermi level is 5.40 states/eV/cell. As for the calculated formation energy: 1.082 eV/f.u. As for the total energy: -8.123 eV/atom.

The structure belongs to space group I-4m2 (No. 119); the cell edges are 3.936, 3.936 and 8.827 Å and the angles 90.00°, 90.00° and 90.00°. The distinct sites, in fractional coordinates, are Y at (0.000, 0.000, 0.000), As at (0.000, 0.500, 0.750), Os at (0.000, 0.000, 0.500) and Os at (0.000, 0.500, 0.250).

***

Fe4Ni15Ru: relaxed, GGA-PBE.

The value obtained for the density of states at the Fermi level is 16.96 states/eV/cell. As for the calculated formation energy: -0.800 eV/f.u. As for the total energy: -6.532 eV/atom.

The structure belongs to space group P4/mmm (No. 123); the cell edges are 3.562, 3.562 and 17.769 Å and the angles 90.00°, 90.00° and 90.00°. The distinct sites, in fractional coordinates, are Fe at (0.000, 0.000, 0.099), Fe at (0.000, 0.000, 0.296), Ni at (0.000, 0.500, 0.000), Ni at (0.000, 0.500, 0.198), Ni at (0.000, 0.500, 0.396), Ni at (0.500, 0.500, 0.099), Ni at (0.500, 0.500, 0.297), Ni at (0.500, 0.500, 0.500) and Ru at (0.000, 0.000, 0.500).

***

NaTi2GaW: relaxed, GGA-PBE.

The value obtained for the density of states at the Fermi level is 5.28 states/eV/cell. As for the calculated formation energy: 5.732 eV/f.u. As for the total energy: -5.471 eV/atom.

The structure belongs to space group P4/mmm (No. 123); the cell edges are 4.725, 4.725 and 5.538 Å and the angles 90.00°, 90.00° and 90.00°. The distinct sites, in fractional coordinates, are Na at (0.000, 0.000, 0.000), Ti at (0.000, 0.500, 0.500), Ga at (0.500, 0.500, 0.000) and W at (0.000, 0.000, 0.500).

***

Which of these has the lowest density of states at the Fermi level?
NaTi2GaW

***

Which of these has the highest density of states at the Fermi level?
TcIrO2

***

The lowest density of states at the Fermi level belongs to which entry?
NaTi2GaW